## TaBS2Cl (GGA-PBE)

Data for a geometry-optimized TaBS2Cl structure.

Properties
E above lowest polymorph ... 19.6 kJ/mol of atoms
Raw formation energy ... 0.6798 eV/atom
N(E_F) ... 3.1 states/eV/f.u.
Total DFT energy (no corrections) ... -5.047 eV per atom
Calculated density ... 6.62 Mg/m³

Unit cell a=4.2433 b=4.2433 c=4.0615 alpha=90.00 beta=90.00 gamma=90.00
Last column: nearest neighbours and their distance in Å.
Sites, in units of the cell vectors:
Ta1 0.0000 0.0000 0.0000  8 S 2.94, 4 Cl 3.00
B1 0.5000 0.5000 0.5000  2 Cl 2.03, 4 S 2.12
S1 0.0000 0.5000 0.5000  2 B 2.12
S2 0.5000 0.0000 0.5000  2 B 2.12
Cl1 0.5000 0.5000 0.0000  2 B 2.03